Computed, not measured: a relaxed CuRe2Cl crystal at the PBE-GGA level of DFT.

Computed properties:
Distance to the lowest polymorph of the same formula   0.444 eV per atom
Formation energy from raw total energies   0.7274 eV/atom
DFT total energy   -6.98 eV/atom

a = 6.5136 Å, b = 6.5136 Å, c = 3.4123 Å
α = 75.47°, β = 75.47°, γ = 26.77°
Positions (direct):
Cu: 0.2500 0.2500 0.2500
Re: 0.5519 0.5519 0.4496
Re: 0.9481 0.9481 0.0504
Cl: 0.7500 0.7500 0.7500


Computed, not measured: a relaxed CuReCl2 crystal at the PBE-GGA level of DFT.

Computed properties:
Distance to the lowest polymorph of the same formula   0.369 eV per atom
Formation energy from raw total energies   0.5309 eV/atom
DFT total energy   -4.53 eV/atom

a = 3.0603 Å, b = 3.0603 Å, c = 10.2096 Å
α = 90.00°, β = 90.00°, γ = 124.24°
Positions (direct):
Cu: 0.5000 0.5000 0.2500
Cl: 0.0000 0.0000 0.5611
Cl: 0.0000 0.0000 0.9389
Re: 0.5000 0.5000 0.7500


Computed, not measured: a relaxed CuRe2Cl crystal at the PBE-GGA level of DFT.

Computed properties:
Distance to the lowest polymorph of the same formula   0.772 eV per atom
Formation energy from raw total energies   1.0557 eV/atom
DFT total energy   -6.65 eV/atom

a = 3.7565 Å, b = 3.7565 Å, c = 9.9392 Å
α = 79.11°, β = 79.11°, γ = 90.00°
Positions (direct):
Cl: 0.2500 0.7500 0.5000
Cl: 0.5000 0.5000 0.0000
Cu: 0.0000 0.0000 0.0000
Cu: 0.7500 0.2500 0.5000
Re: 0.6789 0.1250 0.2500
Re: 0.0711 0.6250 0.2500
Re: 0.3750 0.3211 0.7500
Re: 0.8750 0.9289 0.7500


Computed, not measured: a relaxed CuRe2Cl2 crystal at the PBE-GGA level of DFT.

Computed properties:
Formation energy from raw total energies   1.0742 eV/atom
DFT total energy   -5.46 eV/atom

a = 6.4148 Å, b = 6.4148 Å, c = 6.4148 Å
α = 144.61°, β = 144.61°, γ = 50.91°
Each line ends with the local moment (μB).
Positions (direct):
Cl: 0.2500 0.7500 0.5000  0.00
Cl: 0.7500 0.2500 0.5000  0.00
Re: 0.4029 0.4029 0.0000  0.13
Re: 0.5971 0.5971 0.0000  0.13
Cu: 0.0000 0.0000 0.0000  0.02


Computed, not measured: a relaxed CuRe2Cl crystal at the PBE-GGA level of DFT.

Computed properties:
Distance to the lowest polymorph of the same formula   0.235 eV per atom
Formation energy from raw total energies   0.5189 eV/atom
DFT total energy   -7.19 eV/atom

a = 2.8150 Å, b = 2.8150 Å, c = 8.6800 Å
α = 90.00°, β = 90.00°, γ = 117.68°
Positions (direct):
Cl: 0.0000 0.0000 0.5161
Re: 0.0000 0.0000 0.9981
Re: 0.5000 0.5000 0.2425
Cu: 0.5000 0.5000 0.7433


Computed, not measured: a relaxed CuRe2Cl crystal at the PBE-GGA level of DFT.

Computed properties:
Distance to the lowest polymorph of the same formula   0.776 eV per atom
Formation energy from raw total energies   1.0594 eV/atom
DFT total energy   -6.65 eV/atom

a = 2.6928 Å, b = 2.6928 Å, c = 8.1229 Å
α = 90.00°, β = 90.00°, γ = 90.00°
Positions (direct):
Cu: 0.5000 0.5000 0.7500
Cl: 0.5000 0.5000 0.2500
Re: 0.0000 0.0000 0.5140
Re: 0.0000 0.0000 0.9860